The following is a DFT calculation (SCAN) of Ti3Rh5 at its PBEsol-relaxed geometry.

Computed properties:
ΔE_f ... -0.90 eV per atom
Space-group type ... Pbam
Uncorrected energy ... -448.22 eV for the cell shown
N(E_F) ... 4.31 states/eV/f.u.
Magnetic moment ... 0.000 μB per cell

Cell: 4.055 5.341 10.386 Å, 90.00 90.00 90.00°
Fractional positions:
1 Rh 0.000 0.597 0.262
2 Rh 0.000 0.903 0.762
3 Rh 0.500 0.812 0.107
4 Rh 0.500 0.188 0.893
5 Rh 0.000 0.000 0.500
6 Rh 0.000 0.403 0.738
7 Rh 0.500 0.688 0.607
8 Rh 0.500 0.312 0.393
9 Rh 0.000 0.500 0.000
10 Rh 0.000 0.097 0.238
11 Ti 0.500 0.663 0.856
12 Ti 0.500 0.163 0.644
13 Ti 0.500 0.337 0.144
14 Ti 0.500 0.837 0.356
15 Ti 0.000 0.000 0.000
16 Ti 0.000 0.500 0.500


The following is a DFT calculation (SCAN) of YTiRh2 at its PBEsol-relaxed geometry.

Computed properties:
ΔE_f ... -0.77 eV per atom
Space-group type ... Fm-3m
Uncorrected energy ... -114.50 eV for the cell shown
N(E_F) ... 3.56 states/eV/f.u.
Magnetic moment ... 0.000 μB per cell

Cell: 4.558 4.558 4.558 Å, 60.00 60.00 60.00°
Fractional positions:
1 Rh 0.250 0.250 0.250
2 Rh 0.750 0.750 0.750
3 Ti 0.000 0.000 0.000
4 Y 0.500 0.500 0.500


The following is a DFT calculation (SCAN) of YTi3Rh at its PBEsol-relaxed geometry.

Computed properties:
ΔE_f ... 1.62 eV per atom
Space-group type ... Pm-3m
Uncorrected energy ... -101.62 eV for the cell shown
N(E_F) ... 6.82 states/eV/f.u.
Magnetic moment ... 0.005 μB per cell

Cell: 4.542 4.542 4.542 Å, 90.00 90.00 90.00°
Fractional positions:
1 Ti 0.500 0.000 0.000
2 Ti 0.000 0.000 0.500
3 Ti 0.000 0.500 0.000
4 Y 0.000 0.000 0.000
5 Rh 0.500 0.500 0.500


The following is a DFT calculation (SCAN) of YTi2Rh2 at its PBEsol-relaxed geometry.

Computed properties:
ΔE_f ... -0.82 eV per atom
Space-group type ... I4/mmm
Uncorrected energy ... -131.54 eV for the cell shown
N(E_F) ... 5.14 states/eV/f.u.
Magnetic moment ... 0.000 μB per cell

Cell: 4.190 4.190 6.037 Å, 110.30 110.30 90.00°
Fractional positions:
1 Ti 0.250 0.750 0.500
2 Ti 0.750 0.250 0.500
3 Rh 0.378 0.378 0.756
4 Rh 0.622 0.622 0.244
5 Y 0.000 0.000 0.000


The following is a DFT calculation (SCAN) of ZrTi3Rh at its PBEsol-relaxed geometry.

Computed properties:
ΔE_f ... 1.29 eV per atom
Space-group type ... Pm-3m
Uncorrected energy ... -106.13 eV for the cell shown
N(E_F) ... 6.96 states/eV/f.u.
Magnetic moment ... 0.956 μB per cell

Cell: 4.573 4.573 4.573 Å, 90.00 90.00 90.00°
Site moments in Bohr magnetons follow the coordinates.
Fractional positions:
1 Rh 0.500 0.500 0.500  -0.08
2 Ti 0.500 0.000 0.000  0.27
3 Ti 0.000 0.000 0.500  0.27
4 Ti 0.000 0.500 0.000  0.27
5 Zr 0.000 0.000 0.000  0.01


The following is a DFT calculation (SCAN) of ZrTiRh2 at its PBEsol-relaxed geometry.

Computed properties:
ΔE_f ... -0.83 eV per atom
Space-group type ... Fm-3m
Uncorrected energy ... -117.59 eV for the cell shown
N(E_F) ... 4.25 states/eV/f.u.
Magnetic moment ... 0.000 μB per cell

Cell: 4.475 4.475 4.475 Å, 60.00 60.00 60.00°
Fractional positions:
1 Zr 0.500 0.500 0.500
2 Rh 0.250 0.250 0.250
3 Rh 0.750 0.750 0.750
4 Ti 0.000 0.000 0.000


The following is a DFT calculation (SCAN) of Tl3Rh at its PBEsol-relaxed geometry.

Computed properties:
Relative energy among the computed polymorphs ... 174 meV/atom
ΔE_f ... 0.19 eV per atom
Space-group type ... Pmm2
Uncorrected energy ... -250.07 eV for the cell shown
N(E_F) ... 2.43 states/eV/f.u.
Magnetic moment ... 0.000 μB per cell

Cell: 3.215 4.342 7.078 Å, 90.00 90.00 90.00°
Fractional positions:
1 Tl 0.000 0.500 0.298
2 Tl 0.500 0.000 0.564
3 Tl 0.500 0.500 0.909
4 Rh 0.000 0.000 0.896


The following is a DFT calculation (SCAN) of Tl2Rh3 at its PBEsol-relaxed geometry.

Computed properties:
Relative energy among the computed polymorphs ... 88 meV/atom
ΔE_f ... 0.34 eV per atom
Space-group type ... R-3m
Uncorrected energy ... -244.35 eV for the cell shown
N(E_F) ... 6.04 states/eV/f.u.
Magnetic moment ... 1.527 μB per cell

Cell: 4.491 4.491 5.420 Å, 65.53 65.53 60.00°
Site moments in Bohr magnetons follow the coordinates.
Fractional positions:
1 Tl 0.600 0.600 0.201  0.00
2 Tl 0.400 0.400 0.799  0.00
3 Rh 0.202 0.202 0.393  0.51
4 Rh 0.000 0.000 0.000  0.59
5 Rh 0.798 0.798 0.607  0.51